Record 1
Nb2Pb3O8: relaxed, PBE-GGA.

Computed properties:
E   -7.338 eV/atom
Space group   No. 5
Calculated volume   200.34 Å³ per cell

a b c (Å): 5.773 5.773 7.603
angles (deg): 114.18 114.18 64.68
Sites, in units of the cell vectors:
Nb 0.580 0.612 0.802
Nb 0.388 0.420 0.198
O 0.691 0.242 0.694
O 0.219 0.652 0.775
O 0.758 0.309 0.306
O 0.339 0.157 0.947
O 0.843 0.661 0.053
O 0.348 0.781 0.225
O 0.616 0.764 0.644
O 0.236 0.384 0.356
Pb 0.231 0.189 0.596
Pb 0.811 0.769 0.404
Pb 0.983 0.017 0.000

Record 2
NbPbO3: relaxed, PBE-GGA.

Computed properties:
E   -7.647 eV/atom
Space group   No. 62
Calculated volume   269.53 Å³ per cell

a b c (Å): 5.739 5.764 8.148
angles (deg): 90.00 90.00 90.00
Sites, in units of the cell vectors:
Nb 0.500 0.000 0.000
Nb 0.000 0.500 0.500
Nb 0.500 0.000 0.500
Nb 0.000 0.500 0.000
Pb 0.499 0.485 0.750
Pb 0.501 0.515 0.250
Pb 0.001 0.985 0.750
Pb 0.999 0.015 0.250
O 0.772 0.772 0.482
O 0.535 0.004 0.750
O 0.772 0.772 0.018
O 0.228 0.228 0.518
O 0.465 0.996 0.250
O 0.035 0.496 0.250
O 0.728 0.272 0.482
O 0.728 0.272 0.018
O 0.272 0.728 0.982
O 0.965 0.504 0.750
O 0.228 0.228 0.982
O 0.272 0.728 0.518

Record 3
NbPbO3: relaxed, PBE-GGA.

Computed properties:
E   -7.645 eV/atom
Space group   No. 167
Calculated volume   133.44 Å³ per cell

a b c (Å): 5.654 5.654 5.654
angles (deg): 61.96 61.96 61.96
Sites, in units of the cell vectors:
O 0.200 0.750 0.300
O 0.250 0.700 0.800
O 0.300 0.200 0.750
O 0.700 0.800 0.250
O 0.800 0.250 0.700
O 0.750 0.300 0.200
Pb 0.750 0.750 0.750
Pb 0.250 0.250 0.250
Nb 0.000 0.000 0.000
Nb 0.500 0.500 0.500

Record 4
Nb2Pb2O5: relaxed, PBE-GGA.

Computed properties:
E   -6.969 eV/atom
Space group   No. 123
Calculated volume   130.06 Å³ per cell

a b c (Å): 11.019 3.436 3.436
angles (deg): 90.00 90.00 90.00
Sites, in units of the cell vectors:
O 0.890 0.000 0.500
O 0.110 0.500 0.000
O 0.890 0.500 0.000
O 0.500 0.500 0.500
O 0.110 0.000 0.500
Pb 0.748 0.500 0.500
Pb 0.252 0.500 0.500
Nb 0.000 0.000 0.000
Nb 0.500 0.000 0.000

Record 5
Nb3PbO6: relaxed, PBE-GGA.

Computed properties:
E   -8.506 eV/atom
Space group   No. 193
Calculated volume   290.23 Å³ per cell

a b c (Å): 5.120 5.120 12.785
angles (deg): 90.00 90.00 120.00
Sites, in units of the cell vectors:
O 0.000 0.332 0.651
O 0.000 0.668 0.151
O 0.668 0.000 0.151
O 0.332 0.000 0.849
O 0.000 0.332 0.849
O 0.668 0.668 0.849
O 0.332 0.332 0.151
O 0.000 0.668 0.349
O 0.668 0.668 0.651
O 0.332 0.332 0.349
O 0.668 0.000 0.349
O 0.332 0.000 0.651
Pb 0.000 0.000 0.000
Pb 0.000 0.000 0.500
Nb 0.333 0.667 0.750
Nb 0.333 0.667 0.250
Nb 0.000 0.000 0.750
Nb 0.000 0.000 0.250
Nb 0.667 0.333 0.750
Nb 0.667 0.333 0.250

Record 6
NbPbO3: relaxed, PBE-GGA.

Computed properties:
E   -7.650 eV/atom
Space group   No. 74
Calculated volume   135.13 Å³ per cell

a b c (Å): 5.750 5.750 5.750
angles (deg): 120.29 90.61 119.01
Sites, in units of the cell vectors:
O 0.779 0.000 0.279
O 0.301 0.551 0.750
O 0.779 0.500 0.779
O 0.221 0.000 0.721
O 0.221 0.500 0.221
O 0.699 0.449 0.250
Pb 0.757 0.007 0.750
Pb 0.243 0.993 0.250
Nb 0.500 0.500 0.000
Nb 0.000 0.500 0.500

Record 7
NbPbO3: relaxed, PBE-GGA.

Computed properties:
E   -7.285 eV/atom
Space group   No. 167
Calculated volume   157.50 Å³ per cell

a b c (Å): 5.732 5.732 5.732
angles (deg): 68.67 68.67 68.67
Sites, in units of the cell vectors:
O 0.038 0.750 0.462
O 0.250 0.538 0.962
O 0.962 0.250 0.538
O 0.750 0.462 0.038
O 0.538 0.962 0.250
O 0.462 0.038 0.750
Nb 0.750 0.750 0.750
Nb 0.250 0.250 0.250
Pb 0.500 0.500 0.500
Pb 0.000 0.000 0.000

Record 8
NbPbO3: relaxed, PBE-GGA.

Computed properties:
E   -7.535 eV/atom
Space group   No. 148
Calculated volume   150.16 Å³ per cell

a b c (Å): 5.578 5.578 6.437
angles (deg): 64.32 64.32 60.00
Site moments in Bohr magnetons follow the coordinates.
Sites, in units of the cell vectors:
Nb 0.843 0.843 0.471  0.63
Nb 0.157 0.157 0.529  0.63
O 0.558 0.184 0.296  -0.01
O 0.962 0.558 0.296  0.00
O 0.038 0.442 0.704  0.00
O 0.184 0.962 0.296  -0.01
O 0.442 0.816 0.704  -0.01
O 0.816 0.038 0.704  -0.01
Pb 0.636 0.636 0.091  0.07
Pb 0.364 0.364 0.909  0.07

Record 9
PrNbPb2O6: relaxed, PBE-GGA.

Computed properties:
E   -7.328 eV/atom
Space group   No. 87
Calculated volume   152.93 Å³ per cell

a b c (Å): 6.033 6.033 6.033
angles (deg): 120.96 120.96 88.35
Sites, in units of the cell vectors:
Pb 0.750 0.250 0.500
Pb 0.250 0.750 0.500
O 0.732 0.732 0.000
O 0.345 0.803 0.148
O 0.197 0.345 0.542
O 0.655 0.197 0.852
O 0.803 0.655 0.458
O 0.268 0.268 0.000
Nb 0.500 0.500 0.000
Pr 0.000 0.000 0.000

Record 10
NbSbPb2O6: relaxed, PBE-GGA.

Computed properties:
E   -6.733 eV/atom
Space group   No. 12
Energy relative to the lowest polymorph listed for this composition   0.0 kJ/mol of formula units
Calculated volume   146.47 Å³ per cell

a b c (Å): 5.858 5.858 6.029
angles (deg): 120.00 120.00 60.16
Sites, in units of the cell vectors:
Nb 0.000 0.000 0.000
Sb 0.500 0.500 0.500
O 0.700 0.184 0.171
O 0.300 0.816 0.829
O 0.816 0.300 0.829
O 0.232 0.232 0.326
O 0.184 0.700 0.171
O 0.768 0.768 0.674
Pb 0.749 0.749 0.226
Pb 0.251 0.251 0.774

Record 11
NbSbPb2O6: relaxed, PBE-GGA.

Computed properties:
E   -5.327 eV/atom
Space group   No. 69
Energy relative to the lowest polymorph listed for this composition   1356.7 kJ/mol of formula units
Calculated volume   151.57 Å³ per cell

a b c (Å): 5.982 5.983 5.984
angles (deg): 119.96 90.03 119.97
Site moments in Bohr magnetons follow the coordinates.
Sites, in units of the cell vectors:
Pb 0.250 0.500 0.750  -0.01
Pb 0.750 0.500 0.250  -0.01
O 0.500 0.000 0.000  -0.02
O 0.500 0.500 0.500  -0.02
O 0.000 0.500 0.000  -0.02
O 0.000 0.000 0.500  -0.02
O 0.000 0.500 0.500  -0.02
O 0.500 0.500 0.000  -0.02
Sb 0.500 0.000 0.500  -0.10
Nb 0.000 0.000 0.000  2.43

Record 12
Nb2Pb2Se4O15: relaxed, PBE-GGA.

Computed properties:
E   -6.460 eV/atom
Space group   No. 15
Calculated volume   705.26 Å³ per cell

a b c (Å): 13.723 13.723 7.672
angles (deg): 93.90 93.90 29.30
Sites, in units of the cell vectors:
Nb 0.919 0.938 0.763
Nb 0.081 0.062 0.237
Nb 0.938 0.919 0.263
Nb 0.062 0.081 0.737
O 0.638 0.214 0.670
O 0.993 0.007 0.750
O 0.859 0.841 0.220
O 0.159 0.141 0.280
O 0.634 0.646 0.529
O 0.699 0.832 0.543
O 0.513 0.051 0.188
O 0.832 0.699 0.043
O 0.051 0.513 0.688
O 0.949 0.487 0.312
O 0.999 0.155 0.508
O 0.214 0.638 0.170
O 0.168 0.301 0.957
O 0.487 0.949 0.812
O 0.354 0.366 0.971
O 0.845 0.001 0.992
O 0.007 0.993 0.250
O 0.794 0.352 0.189
O 0.841 0.859 0.720
O 0.001 0.845 0.492
O 0.155 0.999 0.008
O 0.206 0.648 0.811
O 0.648 0.206 0.311
O 0.366 0.354 0.471
O 0.646 0.634 0.029
O 0.362 0.786 0.330
O 0.141 0.159 0.780
O 0.786 0.362 0.830
O 0.301 0.168 0.457
O 0.352 0.794 0.689
Se 0.638 0.517 0.013
Se 0.921 0.701 0.560
Se 0.299 0.079 0.940
Se 0.362 0.483 0.987
Se 0.483 0.362 0.487
Se 0.701 0.921 0.060
Se 0.079 0.299 0.440
Se 0.517 0.638 0.513
Pb 0.585 0.819 0.309
Pb 0.819 0.585 0.809
Pb 0.415 0.181 0.691
Pb 0.181 0.415 0.191